A relaxed structure of NaSi2BH2O7, computed with PBE. Values from VASP.

volume	14.39	Å³ per atom
symmetry	P2_1 (4)
calculated total energy	-177.3	eV for the cell shown
density of states at the Fermi level	0.000	states/eV/f.u.

```
&SYSTEM
  ibrav = 0, nat = 26, ntyp = 5
/
ATOMIC_SPECIES
O 16.00 O.upf
Si 28.09 Si.upf
B 10.81 B.upf
H 1.01 H.upf
Na 22.99 Na.upf
ATOMIC_POSITIONS angstrom
O 5.768 4.873 8.979
O 1.582 4.374 6.349
O 5.162 1.652 4.092
O 1.241 4.999 8.662
O 7.013 1.279 2.629
O 0.161 3.116 10.204
O 2.189 1.153 1.462
O 0.184 4.914 0.930
O 4.820 1.027 1.779
O 1.554 1.895 5.757
O 3.764 1.112 9.510
O 3.740 2.910 0.236
O 3.434 4.747 7.812
O 5.133 4.131 4.684
Si 0.057 4.665 9.705
Si 3.636 1.361 0.735
Si 0.584 1.113 1.172
Si 4.163 4.913 9.268
B 5.617 1.387 2.883
B 2.038 4.639 7.558
H 4.961 4.417 3.767
H 1.382 1.609 6.673
H 1.588 2.910 5.870
H 5.167 3.116 4.571
Na 3.446 0.462 5.071
Na 7.025 5.564 5.370
CELL_PARAMETERS angstrom
7.158 0.000 0.000
0.000 5.244 0.409
0.000 0.782 10.032
```



A relaxed structure of NdTh4Sb5, computed with PBE. Values from VASP.

volume	32.41	Å³ per atom
symmetry	I4/mmm (139)
calculated total energy	-64.7	eV for the cell shown
density of states at the Fermi level	5.751	states/eV/f.u.

```
&SYSTEM
  ibrav = 0, nat = 10, ntyp = 3
/
ATOMIC_SPECIES
Th 232.04 Th.upf
Sb 121.76 Sb.upf
Nd 144.24 Nd.upf
ATOMIC_POSITIONS angstrom
Th -5.924 2.343 -0.438
Th -9.741 0.951 -2.349
Th -3.831 -1.387 -1.913
Th -11.833 4.681 -0.874
Sb -2.953 1.168 -0.218
Sb -8.878 3.512 -0.656
Sb -12.711 2.126 -2.569
Sb -6.787 -0.218 -2.131
Sb -0.885 -2.553 -1.695
Nd 0.000 0.000 0.000
CELL_PARAMETERS angstrom
-0.087 -1.040 -4.388
-1.682 -4.065 0.997
-13.895 8.399 0.604
```



A relaxed structure of TaTiCo2, computed with PBE. Values from VASP.

volume	13.55	Å³ per atom
symmetry	P4/mmm (123)
energy of formation	-0.274	eV/atom
density of states at the Fermi level	4.346	states/eV/f.u.

```
&SYSTEM
  ibrav = 0, nat = 4, ntyp = 3
/
ATOMIC_SPECIES
Co 58.93 Co.upf
Ti 47.87 Ti.upf
Ta 180.95 Ta.upf
ATOMIC_POSITIONS angstrom
Co -0.964 1.079 0.226
Co -3.380 3.781 0.793
Ti -0.809 -1.045 1.537
Ta -2.981 1.385 2.046
CELL_PARAMETERS angstrom
-2.102 -1.932 0.253
0.485 -0.158 2.820
-4.345 4.860 1.019
```



A relaxed structure of TaPBr2, computed with PBE. Values from VASP.

volume	19.02	Å³ per atom
energy above the lowest structure with this stoichiometry	1396	meV per atom
symmetry	P4/mmm (123)
density of states at the Fermi level	2.868	states/eV/f.u.

```
&SYSTEM
  ibrav = 0, nat = 4, ntyp = 3
/
ATOMIC_SPECIES
Br 79.90 Br.upf
Ta 180.95 Ta.upf
P 30.97 P.upf
ATOMIC_POSITIONS angstrom
Br -3.386 0.325 0.429
Br 0.000 0.000 0.000
Ta -2.008 -2.019 -0.622
P -1.481 -0.576 2.443
CELL_PARAMETERS angstrom
-2.859 1.768 3.494
-3.913 -1.118 -2.636
-0.103 -2.919 1.392
```



A relaxed structure of Na2Pd5Pb3, computed with PBE. Values from VASP.

volume	20.03	Å³ per atom
symmetry	C2/c (15)
energy of formation	-0.225	eV/atom
density of states at the Fermi level	4.228	states/eV/f.u.

```
&SYSTEM
  ibrav = 0, nat = 20, ntyp = 3
/
ATOMIC_SPECIES
Na 22.99 Na.upf
Pd 106.42 Pd.upf
Pb 207.20 Pb.upf
ATOMIC_POSITIONS angstrom
Na -0.405 -0.854 5.291
Na 1.699 -3.105 6.134
Na -3.286 -6.477 2.574
Na -5.390 -4.226 1.731
Pd -3.872 -5.031 6.818
Pd -2.896 -5.579 -0.381
Pd -0.322 -3.632 3.718
Pd -2.199 -1.227 2.854
Pd -0.795 -1.752 8.246
Pd -1.493 -6.104 5.011
Pd -1.265 -7.685 0.572
Pd -2.426 0.354 7.293
Pd -3.370 -3.700 4.147
Pd 0.181 -2.300 1.047
Pb -2.219 -3.659 1.558
Pb 1.644 -0.279 7.765
Pb -3.698 -1.051 5.218
Pb 0.007 -6.280 2.648
Pb -5.335 -7.052 0.100
Pb -1.472 -3.672 6.307
CELL_PARAMETERS angstrom
-5.537 0.819 2.010
-1.398 -8.034 -1.852
3.244 -0.116 7.707
```



A relaxed structure of TeBrO3, computed with PBE. Values from VASP.

volume	13.74	Å³ per atom
symmetry	Pm-3m (221)
calculated total energy	-16.0	eV for the cell shown
density of states at the Fermi level	2.797	states/eV/f.u.

```
&SYSTEM
  ibrav = 0, nat = 5, ntyp = 3
/
ATOMIC_SPECIES
Br 79.90 Br.upf
O 16.00 O.upf
Te 127.60 Te.upf
ATOMIC_POSITIONS angstrom
Br 0.000 0.000 0.000
O -1.158 0.263 -1.668
O -1.631 -0.697 1.022
O -0.437 1.907 0.603
Te -3.226 1.473 -0.043
CELL_PARAMETERS angstrom
-2.315 0.525 -3.337
-3.263 -1.394 2.045
-0.874 3.815 1.207
```